(1)
Material: ScCdNiPt
Method: DFT, PBE
State: optimized geometry

Unit cell a=4.559 b=4.559 c=4.559 alpha=60.00 beta=60.00 gamma=60.00
Fractional coordinates of all 4 atoms:
Sc 0.000 0.000 0.000
Ni 0.250 0.250 0.250
Pt 0.750 0.750 0.750
Cd 0.500 0.500 0.500

Calculated values
* final energy: -21.389 eV per formula unit
* D(E_F): 0.691 states/eV/atom

=====

(2)
Material: Tb2MnP
Method: DFT, PBE
State: optimized geometry

Unit cell a=3.750 b=3.750 c=9.557 alpha=78.69 beta=78.69 gamma=60.00
Fractional coordinates of all 4 atoms:
P 0.500 0.500 0.500
Mn 0.000 0.000 0.000
Tb 0.108 0.108 0.676
Tb 0.892 0.892 0.324

Calculated values
* final energy: -24.306 eV per formula unit
* D(E_F): 0.777 states/eV/atom

=====

(3)
Material: CoPb2Au
Method: DFT, PBE
State: optimized geometry

Unit cell a=8.376 b=8.376 c=8.376 alpha=25.30 beta=25.30 gamma=25.30
Fractional coordinates of all 4 atoms:
Au 0.484 0.484 0.484
Co 0.757 0.757 0.757
Pb 0.022 0.022 0.022
Pb 0.236 0.236 0.236

Calculated values
* final energy: -16.529 eV per formula unit
* D(E_F): 1.117 states/eV/atom

=====

(4)
Material: Sr5DyIn6
Method: DFT, PBE
State: optimized geometry

Unit cell a=5.709 b=7.950 c=9.870 alpha=66.25 beta=72.87 gamma=90.00
Fractional coordinates of all 12 atoms:
Sr 0.680 0.181 0.637
Sr 0.340 0.340 0.321
Sr 0.000 0.500 0.000
Sr 0.660 0.660 0.679
Sr 0.320 0.819 0.363
In 0.843 0.617 0.316
In 0.843 0.068 0.316
In 0.500 0.787 0.000
In 0.500 0.213 0.000
In 0.157 0.932 0.684
In 0.157 0.383 0.684
Dy 0.000 0.000 0.000

Calculated values
* final energy: -34.603 eV per formula unit
* D(E_F): 0.590 states/eV/atom

=====

(5)
Material: PmDyCuIr
Method: DFT, PBE
State: optimized geometry

Unit cell a=4.940 b=4.940 c=4.940 alpha=60.00 beta=60.00 gamma=60.00
Fractional coordinates of all 4 atoms:
Ir 0.750 0.750 0.750
Pm 0.500 0.500 0.500
Cu 0.250 0.250 0.250
Dy 0.000 0.000 0.000

Calculated values
* final energy: -24.362 eV per formula unit
* D(E_F): 0.645 states/eV/atom

=====

(6)
Material: Ho5Sc2Sb4
Method: DFT, PBE
State: optimized geometry

Unit cell a=4.172 b=7.528 c=11.219 alpha=113.52 beta=100.71 gamma=90.00
Fractional coordinates of all 11 atoms:
Ho 0.172 0.907 0.344
Ho 0.828 0.093 0.656
Ho 0.146 0.344 0.292
Ho 0.500 0.000 0.000
Ho 0.854 0.656 0.708
Sc 0.573 0.543 0.146
Sc 0.427 0.457 0.854
Sb 0.717 0.684 0.434
Sb 0.020 0.738 0.041
Sb 0.283 0.316 0.566
Sb 0.980 0.262 0.959

Calculated values
* final energy: -59.080 eV per formula unit
* formation energy from raw total energies: -7.0 eV per formula unit
* D(E_F): 0.651 states/eV/atom

=====

(7)
Material: NbV2Rh4
Method: DFT, PBE
State: optimized geometry

Unit cell a=4.807 b=4.807 c=6.763 alpha=69.18 beta=69.18 gamma=90.00
Fractional coordinates of all 7 atoms:
Nb 0.000 0.000 0.000
Rh 0.207 0.207 0.587
Rh 0.793 0.793 0.413
Rh 0.000 0.500 0.000
Rh 0.500 0.000 0.000
V 0.407 0.407 0.186
V 0.593 0.593 0.814

Calculated values
* final energy: -52.066 eV per formula unit
* D(E_F): 1.412 states/eV/atom

=====

(8)
Material: PmDy6In3
Method: DFT, PBE
State: optimized geometry

Unit cell a=5.177 b=10.114 c=11.245 alpha=99.35 beta=90.00 gamma=90.00
Fractional coordinates of all 20 atoms:
Pm 0.250 0.954 0.595
Pm 0.750 0.046 0.405
Dy 0.250 0.448 0.094
Dy 0.750 0.552 0.906
Dy 0.250 0.141 0.220
Dy 0.750 0.859 0.780
Dy 0.250 0.639 0.686
Dy 0.750 0.361 0.314
Dy 0.250 0.277 0.517
Dy 0.750 0.723 0.483
Dy 0.250 0.816 0.276
Dy 0.750 0.184 0.724
Dy 0.250 0.076 0.909
Dy 0.750 0.924 0.091
In 0.250 0.542 0.388
In 0.750 0.458 0.612
In 0.250 0.364 0.807
In 0.750 0.636 0.193
In 0.250 0.759 0.968
In 0.750 0.241 0.032

Calculated values
* final energy: -43.255 eV per formula unit
* D(E_F): 1.121 states/eV/atom

=====

(9)
Material: Ac4La2As3N2
Method: DFT, PBE
State: optimized geometry

Unit cell a=4.994 b=4.994 c=13.188 alpha=100.91 beta=100.91 gamma=90.00
Fractional coordinates of all 11 atoms:
Ac 0.418 0.918 0.836
Ac 0.918 0.418 0.836
Ac 0.082 0.582 0.164
Ac 0.582 0.082 0.164
La 0.301 0.301 0.602
La 0.699 0.699 0.398
As 0.000 0.000 0.000
As 0.176 0.176 0.352
As 0.824 0.824 0.648
N 0.389 0.389 0.778
N 0.611 0.611 0.222

Calculated values
* final energy: -69.372 eV per formula unit
* formation energy from raw total energies: -12.5 eV per formula unit
* D(E_F): 0.276 states/eV/atom

=====

(10)
Material: Zr3NiAg3Se8
Method: DFT, PBE
State: optimized geometry

Unit cell a=7.591 b=7.595 c=8.259 alpha=117.45 beta=90.00 gamma=119.98
Fractional coordinates of all 15 atoms:
Zr 0.500 0.000 0.500
Zr 0.500 0.500 0.500
Zr 0.000 0.500 0.500
Ni 0.000 0.000 0.500
Ag 0.000 0.000 0.000
Ag 0.000 0.500 0.000
Ag 0.500 0.500 0.000
Se 0.257 0.514 0.271
Se 0.743 0.486 0.729
Se 0.768 0.535 0.278
Se 0.232 0.465 0.722
Se 0.768 0.011 0.279
Se 0.232 0.989 0.721
Se 0.243 0.011 0.279
Se 0.757 0.989 0.721

Calculated values
* final energy: -78.055 eV per formula unit
* formation energy from raw total energies: -10.2 eV per formula unit
* D(E_F): 0.464 states/eV/atom

=====

(11)
Material: ZrScPt2
Method: DFT, PBE
State: optimized geometry

Unit cell a=3.541 b=4.357 c=9.852 alpha=89.97 beta=100.37 gamma=90.00
Fractional coordinates of all 8 atoms:
Zr 0.308 0.250 0.616
Zr 0.692 0.750 0.384
Sc 0.557 0.250 0.116
Sc 0.443 0.750 0.884
Pt 0.833 0.750 0.665
Pt 0.167 0.250 0.335
Pt 0.060 0.751 0.121
Pt 0.940 0.249 0.879

Calculated values
* final energy: -31.535 eV per formula unit
* D(E_F): 0.464 states/eV/atom

=====

(12)
Material: RbGa3Tc
Method: DFT, PBE
State: optimized geometry

Unit cell a=4.788 b=13.618 c=5.086 alpha=89.05 beta=62.50 gamma=83.45
Fractional coordinates of all 10 atoms:
Rb 0.141 0.313 0.977
Rb 0.812 0.000 0.469
Ga 0.558 0.853 0.092
Ga 0.725 0.629 0.259
Ga 0.708 0.510 0.770
Ga 0.228 0.684 0.189
Ga 0.396 0.460 0.355
Ga 0.245 0.803 0.677
Tc 0.749 0.707 0.724
Tc 0.204 0.606 0.723

Calculated values
* final energy: -20.530 eV per formula unit
* D(E_F): 0.479 states/eV/atom